Entry 1:
A relaxed DyThAs2 crystal, computed with PBE-GGA.

## Properties
ρ = 8.51 g cm⁻³
Energy above the lowest structure with this stoichiometry = 0.155 eV/atom
Formation enthalpy at 0 K = -1.31 eV/atom
Total moment = 0.00 μB per cell
Uncorrected energy = -6.6445 eV/atom
Volume = 26.56 Å³ per atom
DOS at the Fermi energy = 2.79 states/eV/cell
Crystal system = trigonal

a = 4.143 Å, b = 4.143 Å, c = 7.536 Å
α = 74.05°, β = 74.05°, γ = 60.00°
Fractional positions:
As1 0.249 0.249 0.252
Th1 0.670 0.670 0.991
Dy1 0.496 0.496 0.512
As2 0.085 0.085 0.745



Entry 2:
A relaxed DyTh5As6 crystal, computed with PBE-GGA.

## Properties
ρ = 9.15 g cm⁻³
Formation enthalpy at 0 K = -1.42 eV/atom
Total moment = 0.00 μB per cell
Uncorrected energy = -7.2165 eV/atom
Volume = 26.81 Å³ per atom
DOS at the Fermi energy = 6.68 states/eV/cell
Crystal system = monoclinic

a = 7.333 Å, b = 7.330 Å, c = 7.332 Å
α = 60.01°, β = 80.39°, γ = 70.50°
Fractional positions:
As1 0.248 0.246 0.000
As2 0.246 0.589 0.329
Th1 0.000 0.666 0.668
As3 0.246 0.918 0.671
As4 0.754 0.411 0.671
Dy1 0.000 0.000 0.000
Th2 0.500 0.500 0.000
Th3 0.500 0.832 0.335
As5 0.752 0.754 0.000
As6 0.754 0.082 0.329
Th4 0.000 0.334 0.332
Th5 0.500 0.168 0.665